VASP calculation (PBE) on a relaxed CeDyPt crystal.

a b c (Å): 4.677 4.677 4.023
angles (deg): 90.00 90.00 120.00
Element x y z (fractional)
Ce 0.000 0.000 0.000
Dy 0.667 0.333 0.449
Pt 0.333 0.667 0.684

Computed properties:
- SG = P3m1
- formation energy (kJ/mol of formula units) = -166



VASP calculation (PBE) on a relaxed Pr3DyHo6Tm2 crystal.

a b c (Å): 6.184 6.184 11.793
angles (deg): 95.01 95.01 119.98
Element x y z (fractional)
Pr 0.000 0.000 0.000
Pr 0.333 0.667 0.000
Pr 0.667 0.333 0.000
Dy 0.500 0.500 0.500
Ho 0.085 0.418 0.256
Ho 0.248 0.248 0.745
Ho 0.418 0.085 0.256
Ho 0.582 0.915 0.744
Ho 0.752 0.752 0.255
Ho 0.915 0.582 0.744
Tm 0.167 0.833 0.500
Tm 0.833 0.167 0.500

Computed properties:
- SG = C2/m
- formation energy (kJ/mol of formula units) = 27



VASP calculation (PBE) on a relaxed Zr3PI7 crystal.

a b c (Å): 8.176 8.176 7.441
angles (deg): 90.00 90.00 120.00
Element x y z (fractional)
Zr 0.039 0.520 0.000
Zr 0.480 0.520 0.000
Zr 0.480 0.961 0.000
P 0.333 0.667 0.185
I 0.167 0.334 0.749
I 0.167 0.833 0.749
I 0.335 0.168 0.213
I 0.666 0.833 0.749
I 0.667 0.333 0.773
I 0.832 0.168 0.213
I 0.832 0.665 0.213

Computed properties:
- SG = P3m1
- formation energy without anion corrections (meV per atom) = -877



VASP calculation (PBE) on a relaxed YBAs2Br crystal.

a b c (Å): 5.516 5.516 5.514
angles (deg): 90.00 90.00 90.00
Element x y z (fractional)
Y 0.000 0.000 0.000
B 0.500 0.500 0.500
As 0.000 0.500 0.000
As 0.500 0.000 0.000
Br 0.000 0.000 0.500

Computed properties:
- SG = P4/mmm
- formation energy without anion corrections (meV per atom) = 924



VASP calculation (PBE) on a relaxed Nd4Cu3Rh crystal.

a b c (Å): 3.919 4.505 10.747
angles (deg): 90.00 90.00 90.00
Element x y z (fractional)
Nd 0.000 0.000 0.000
Nd 0.000 0.500 0.271
Nd 0.500 0.000 0.487
Nd 0.500 0.500 0.774
Cu 0.000 0.000 0.699
Cu 0.000 0.500 0.566
Cu 0.500 0.500 0.061
Rh 0.500 0.000 0.214

Computed properties:
- SG = Pmm2
- formation energy (kJ/mol of formula units) = -251



VASP calculation (PBE) on a relaxed Y3HgN crystal.

a b c (Å): 3.539 4.728 6.764
angles (deg): 90.00 90.00 90.00
Element x y z (fractional)
Y 0.000 0.000 0.000
Y 0.500 0.500 0.248
Y 0.500 0.500 0.752
Hg 0.000 0.000 0.500
N 0.000 0.500 0.000

Computed properties:
- SG = Pmmm
- formation energy without anion corrections (meV per atom) = -835